This record from Alexandria describes a relaxed MnReRh2 crystal. The functional is GGA-PBEsol.

## Properties
- energy of formation (meV per atom) = -76.1
- total magnetization (μB/atom) = 0.60
- volume (A^3/atom) = 13.3
- excess energy over the best structure of this formula in the dataset (meV/atom) = 24

Lattice parameters (Å, degrees): 2.6724 3.7648 5.2869 90.00 90.00 90.00
Closest atoms and distances in Å follow each position.
Fractional coordinates of all 4 atoms:
Rh (0.0000, 0.0000, 0.7477)  4 Rh 2.62-2.67, 4 Mn 2.65, 4 Re 2.67
Rh (0.0000, 0.0000, 0.2522)  4 Rh 2.62-2.67, 4 Mn 2.65, 4 Re 2.67
Mn (0.5000, 0.5000, 0.5000)  2 Re 2.64, 8 Rh 2.65, 2 Mn 2.67
Re (0.5000, 0.5000, 0.0000)  2 Mn 2.64, 8 Rh 2.67, 2 Re 2.67